[1]
This record from Alexandria via LeMat-Bulk describes crystalline YO at its relaxed geometry. The functional is PBE. Values from VASP.

Results
Space-group type: I4/m, No. 87
V, Å³ per cell: 330
Energy relative to the elements, uncorrected, eV per atom: -2.77
Energy, eV/atom: -8.48

Geometry as Quantum ESPRESSO input:
```
&SYSTEM
  ibrav = 0, nat = 16, ntyp = 2
/
ATOMIC_SPECIES
Y 88.91 Y.upf
O 16.00 O.upf
CELL_PARAMETERS angstrom
-2.5816 -0.5366 8.8605
-7.6751 -4.5010 -2.5089
1.8634 -3.3664 0.3390
ATOMIC_POSITIONS crystal
Y 0.4097 0.2235 0.0000
Y 0.7765 0.4097 0.0000
Y 0.2765 0.9097 0.5000
Y 0.9097 0.7235 0.5000
Y 0.0903 0.2765 0.5000
Y 0.2235 0.5903 0.0000
Y 0.7235 0.0903 0.5000
Y 0.5903 0.7765 0.0000
O 0.3492 0.8045 0.0000
O 0.8045 0.6508 0.0000
O 0.6508 0.1955 0.0000
O 0.8492 0.3045 0.5000
O 0.6955 0.8492 0.5000
O 0.1955 0.3492 0.0000
O 0.1508 0.6955 0.5000
O 0.3045 0.1508 0.5000
```

[2]
This record from Alexandria via LeMat-Bulk describes crystalline YO at its relaxed geometry. The functional is PBE. Values from VASP.

Results
Space-group type: P-3m1, No. 164
V, Å³ per cell: 77
Energy relative to the elements, uncorrected, eV per atom: -2.88
Energy, eV/atom: -8.59

Geometry as Quantum ESPRESSO input:
```
&SYSTEM
  ibrav = 0, nat = 4, ntyp = 2
/
ATOMIC_SPECIES
O 16.00 O.upf
Y 88.91 Y.upf
CELL_PARAMETERS angstrom
-3.6993 0.2259 -0.6161
1.9517 -2.9201 -1.3340
-1.0810 -3.1585 5.3323
ATOMIC_POSITIONS crystal
O 0.3333 0.6667 0.3571
O 0.6667 0.3333 0.6429
Y 0.3333 0.6667 0.7333
Y 0.6667 0.3333 0.2666
```

[3]
This record from Alexandria via LeMat-Bulk describes crystalline Y2ZnO at its relaxed geometry. The functional is PBE. Values from VASP.

Results
Distance to the lowest polymorph of the same formula, meV per atom: 336
Space-group type: R-3m, No. 166
V, Å³ per cell: 90
Energy relative to the elements, uncorrected, eV per atom: -1.08
Energy, eV/atom: -5.87

Geometry as Quantum ESPRESSO input:
```
&SYSTEM
  ibrav = 0, nat = 4, ntyp = 3
/
ATOMIC_SPECIES
Y 88.91 Y.upf
O 16.00 O.upf
Zn 65.41 Zn.upf
CELL_PARAMETERS angstrom
-2.5511 -0.7112 2.2575
-3.1355 -0.9613 -1.1639
0.5636 -8.7991 0.5472
ATOMIC_POSITIONS crystal
Y 0.1150 0.1150 0.6549
Y 0.8850 0.8850 0.3451
O 0.5000 0.5000 0.5000
Zn 0.0000 0.0000 0.0000
```

[4]
This record from Alexandria via LeMat-Bulk describes crystalline YZn3O at its relaxed geometry. The functional is PBE. Values from VASP.

Results
Distance to the lowest polymorph of the same formula, meV per atom: 0
Space-group type: Pm-3m, No. 221
V, Å³ per cell: 89
Energy relative to the elements, uncorrected, eV per atom: -0.14
Energy, eV/atom: -3.19

Geometry as Quantum ESPRESSO input:
```
&SYSTEM
  ibrav = 0, nat = 5, ntyp = 3
/
ATOMIC_SPECIES
O 16.00 O.upf
Y 88.91 Y.upf
Zn 65.41 Zn.upf
CELL_PARAMETERS angstrom
-2.7855 0.8075 -3.3868
-2.0696 -3.8719 0.7790
-2.7999 2.0587 2.7936
ATOMIC_POSITIONS crystal
O 0.0000 0.0000 0.0000
Y 0.5000 0.5000 0.5000
Zn 0.0000 0.5000 0.0000
Zn 0.5000 0.0000 0.0000
Zn 0.0000 0.0000 0.5000
```

- energy of number 4 (YZn3O)?
  -3.19 eV/atom